1.
## MgMnBe2 (meta-GGA SCAN)

Data for a crystal of MgMnBe2 relaxed with PBEsol.

Unit cell a=2.4372 b=4.0946 c=4.9122 alpha=95.56 beta=90.00 gamma=107.31
Closest atoms and distances in Å follow each position.
Atoms (fractional coordinates):
Be (0.7571, 0.5141, 0.8198)  2 Be 2.16, 3 Mn 2.28-2.35
Be (0.2429, 0.4859, 0.1802)  2 Be 2.16, 3 Mn 2.28-2.35
Mg (0.0000, 0.0000, 0.5000)  2 Mg 2.44, 6 Be 2.58-2.71
Mn (0.5000, 0.0000, 0.0000)  6 Be 2.28-2.35, 2 Mn 2.44

Total moment, μB/f.u.: 2.55
E, eV/atom: -7.7176
Space-group type: No. 12
N(E_F), states/eV/f.u.: 1.8
Calculated volume, Å³/cell: 46.6
Energy of formation from the pure elements, eV/atom: 0.27

2.
## YAsPb2 (meta-GGA SCAN)

Data for a crystal of YAsPb2 relaxed with PBEsol.

Unit cell a=4.0360 b=4.0360 c=6.6778 alpha=90.00 beta=90.00 gamma=90.00
Closest atoms and distances in Å follow each position.
Atoms (fractional coordinates):
Pb (0.0000, 0.0000, 0.0414)  4 Pb 3.14, 2 Y 3.18-3.50
Pb (0.5000, 0.5000, 0.2389)  1 As 2.78
Y (0.0000, 0.0000, 0.5649)  4 As 2.92, 1 Pb 3.18
As (0.5000, 0.5000, 0.6547)  1 Pb 2.78, 4 Y 2.92

Total moment, μB/f.u.: 0.00
E, eV/atom: -50.5401
Space-group type: No. 99
N(E_F), states/eV/f.u.: 1.4
Calculated volume, Å³/cell: 108.8
Energy of formation from the pure elements, eV/atom: -0.64

3.
## CaHf2InCo (meta-GGA SCAN)

Data for a crystal of CaHf2InCo relaxed with PBEsol.

Unit cell a=4.6785 b=5.2723 c=5.2723 alpha=90.00 beta=90.00 gamma=90.00
Closest atoms and distances in Å follow each position.
Atoms (fractional coordinates):
Co (0.5000, 0.0000, 0.0000)  2 In 2.34
Ca (0.5000, 0.5000, 0.5000)  8 Hf 3.52, 4 Co 3.73
Hf (0.0000, 0.0000, 0.5000)  2 In 2.64
Hf (0.0000, 0.5000, 0.0000)  2 In 2.64
In (0.0000, 0.0000, 0.0000)  2 Co 2.34

Total moment, μB/f.u.: 0.95
E, eV/atom: -36.0331
Space-group type: No. 123
N(E_F), states/eV/f.u.: 5.1
Calculated volume, Å³/cell: 130.0
Energy of formation from the pure elements, eV/atom: 1.11

4.
## MnOs2Au (meta-GGA SCAN)

Data for a crystal of MnOs2Au relaxed with PBEsol.

Unit cell a=2.7153 b=4.6976 c=4.7016 alpha=101.31 beta=106.78 gamma=90.00
Closest atoms and distances in Å follow each position.
Atoms (fractional coordinates):
Au (0.5000, 0.0000, 0.0000)  6 Os 2.69-2.81, 4 Mn 2.71, 2 Au 2.72
Mn (0.0000, 0.5000, 0.0000)  6 Os 2.56-2.81, 4 Au 2.71, 2 Mn 2.72
Os (0.2642, 0.2699, 0.5285)  3 Mn 2.56-2.81, 6 Os 2.61-2.84, 3 Au 2.69-2.81
Os (0.7358, 0.7301, 0.4715)  3 Mn 2.56-2.81, 6 Os 2.61-2.84, 3 Au 2.69-2.81

Total moment, μB/f.u.: 2.58
E, eV/atom: -57.5910
Space-group type: No. 12
N(E_F), states/eV/f.u.: 2.8
Calculated volume, Å³/cell: 56.2
Energy of formation from the pure elements, eV/atom: 0.20

5.
## AgAs2F (meta-GGA SCAN)

Data for a crystal of AgAs2F relaxed with PBEsol.

Unit cell a=4.4105 b=4.4105 c=4.4105 alpha=60.00 beta=60.00 gamma=60.00
Closest atoms and distances in Å follow each position.
Atoms (fractional coordinates):
As (0.2500, 0.2500, 0.2500)  4 F 2.70, 4 Ag 2.70
As (0.7500, 0.7500, 0.7500)  4 Ag 2.70, 4 F 2.70
Ag (0.5000, 0.5000, 0.5000)  8 As 2.70
F (0.0000, 0.0000, 0.0000)  8 As 2.70

Total moment, μB/f.u.: 0.00
E, eV/atom: -19.0322
Space-group type: No. 225
N(E_F), states/eV/f.u.: 1.2
Calculated volume, Å³/cell: 60.7

6.
## Hf2ScPAu (meta-GGA SCAN)

Data for a crystal of Hf2ScPAu relaxed with PBEsol.

Unit cell a=4.6325 b=4.7990 c=4.7990 alpha=90.00 beta=90.00 gamma=90.00
Closest atoms and distances in Å follow each position.
Atoms (fractional coordinates):
Sc (0.5000, 0.5000, 0.5000)  8 Hf 3.34, 4 Au 3.39
Hf (0.0000, 0.0000, 0.5000)  2 P 2.40
Hf (0.0000, 0.5000, 0.0000)  2 P 2.40
Au (0.5000, 0.0000, 0.0000)  2 P 2.32
P (0.0000, 0.0000, 0.0000)  2 Au 2.32, 4 Hf 2.40

Total moment, μB/f.u.: 1.26
E, eV/atom: -44.0095
Space-group type: No. 123
N(E_F), states/eV/f.u.: 3.9
Calculated volume, Å³/cell: 106.7
Energy of formation from the pure elements, eV/atom: -0.18